PBEsol LiCd2Pt, relaxed; calculated total energy = -3.018 eV per atom; magnetic moment = 0.000 μB/cell; calculated volume = 17.26 A^3/atom; E_form = -0.19 eV/atom; E above lowest polymorph = 0.239 eV per atom
1.0
-1.975 1.901 1.070
-0.310 0.317 2.909
5.612 7.386 1.282
Li Cd Pt
1 2 1
direct
0.500 0.500 0.500
0.749 0.749 0.752
0.251 0.251 0.248
0.000 0.000 0.000

PBEsol CuSiRh2, relaxed; calculated total energy = -6.957 eV per atom; raw formation energy = -0.368 eV per atom; magnetic moment = 0.000 μB/cell; calculated volume = 12.63 A^3/atom
1.0
2.804 0.000 0.000
0.000 4.134 0.000
-1.402 -2.067 4.357
Si Cu Rh
1 1 2
direct
0.498 0.498 0.997
0.224 0.724 0.448
0.778 0.278 0.556
0.999 0.999 0.999

PBEsol TaNbO5, relaxed; calculated total energy = -9.679 eV per atom; raw formation energy = -2.590 eV per atom; magnetic moment = 0.000 μB/cell; calculated volume = 18.19 A^3/atom
1.0
-3.521 2.720 -3.619
-2.086 -6.318 -2.720
-9.072 -0.609 8.370
O Ta Nb
20 4 4
direct
0.250 0.187 0.576
0.500 0.500 0.500
0.489 0.168 0.379
0.000 0.500 0.500
0.011 0.168 0.379
0.750 0.979 0.197
0.511 0.832 0.621
0.989 0.832 0.621
0.489 0.332 0.879
0.250 0.021 0.803
0.250 0.313 0.076
0.750 0.687 0.924
0.250 0.479 0.303
0.750 0.521 0.697
0.500 0.000 0.000
0.750 0.813 0.424
0.000 0.000 0.000
0.011 0.332 0.879
0.989 0.668 0.121
0.511 0.668 0.121
0.750 0.468 0.845
0.250 0.532 0.155
0.250 0.968 0.655
0.750 0.032 0.345
0.250 0.151 0.944
0.750 0.651 0.556
0.750 0.849 0.056
0.250 0.349 0.444

PBEsol HgPb5, relaxed; calculated total energy = -3.404 eV per atom; magnetic moment = 0.000 μB/cell; calculated volume = 28.63 A^3/atom; E_form = 0.02 eV/atom; E above lowest polymorph = 0.022 eV per atom
1.0
5.679 0.000 0.000
0.000 5.910 0.000
0.000 -2.955 5.118
Pb Hg
5 1
direct
0.000 0.331 0.331
0.000 0.000 0.669
0.500 0.333 0.667
0.500 0.667 0.333
0.000 0.669 0.000
0.500 0.000 0.000

PBEsol CaAlCd, relaxed; calculated total energy = -2.776 eV per atom; magnetic moment = 0.000 μB/cell; calculated volume = 23.07 A^3/atom; E_form = -0.30 eV/atom
1.0
3.525 0.000 0.000
0.000 4.761 0.000
0.000 -2.381 4.123
Al Cd Ca
1 1 1
direct
0.500 0.000 0.000
0.500 0.667 0.333
0.000 0.333 0.667

PBEsol MgTiTl2Rh, relaxed; calculated total energy = -3.721 eV per atom; magnetic moment = 1.527 μB/cell; calculated volume = 23.20 A^3/atom; E_form = 0.97 eV/atom
1.0
4.524 0.000 0.000
0.000 5.064 0.000
0.000 0.000 5.064
Mg Tl Rh Ti
1 2 1 1
direct
0.000 0.000 0.000
0.000 0.000 0.500
0.000 0.500 0.000
0.500 0.000 0.000
0.500 0.500 0.500

PBEsol CsAsF4, relaxed; calculated total energy = -4.735 eV per atom; raw formation energy = -2.442 eV per atom; magnetic moment = 0.001 μB/cell; calculated volume = 20.29 A^3/atom
1.0
-3.839 -2.500 1.005
3.204 -2.913 4.994
-3.995 7.103 2.411
F Cs As
8 2 2
direct
0.129 0.509 0.121
0.070 0.544 0.705
0.200 0.155 0.165
0.218 0.775 0.417
0.700 0.845 0.835
0.570 0.456 0.295
0.718 0.225 0.583
0.629 0.491 0.879
0.194 0.101 0.784
0.694 0.899 0.216
0.686 0.538 0.688
0.186 0.462 0.312

PBEsol SbP2AuO, relaxed; calculated total energy = -4.484 eV per atom; raw formation energy = 0.579 eV per atom; magnetic moment = 0.002 μB/cell; calculated volume = 18.22 A^3/atom; E above lowest polymorph = 0.000 eV per atom
1.0
-3.044 2.291 0.827
-2.474 -3.849 1.559
1.732 0.692 4.460
Sb P O Au
1 2 1 1
direct
0.500 0.500 0.500
0.000 0.000 0.500
0.000 0.500 0.000
0.500 0.000 0.000
0.000 0.000 0.000

What is the formula in the seventh record?
CsAsF4

Which value of calculated total energy does entry 1 give?
-3.018 eV per atom